No. 1
Here is crystalline Na2TlAgO4 at its relaxed geometry from Alexandria. Energies are from PBE-GGA.

Cell lengths 3.1998, 6.3326, 6.2060 Å; angles 116.62, 90.00, 90.00 degrees
With the nearest neighbours (Å) after each atom.
Element x y z (fractional)
Na: 0.5000 0.0000 0.5000  4 O 2.41
Na: 0.0000 0.5000 0.5000  6 O 2.36-2.52
Tl: 0.5000 0.5000 0.0000  4 O 2.23
Ag: 0.0000 0.0000 0.0000  4 O 2.09
O: 0.5000 0.2106 0.1963  2 Ag 2.09
O: 0.5000 0.7894 0.8037  2 Ag 2.09
O: 0.0000 0.2968 0.7392  2 Tl 2.23, 3 Na 2.36-2.41
O: 0.0000 0.7032 0.2608  2 Tl 2.23, 3 Na 2.36-2.41

Computed properties:
- Size of the total moment: 0.00 Bohr magnetons per cell
- E: -4.28 eV per atom
- Raw formation energy: -0.815 eV/atom



No. 2
Here is crystalline InAs2P at its relaxed geometry from Alexandria. Energies are from PBE-GGA.

Cell lengths 5.4548, 5.4548, 5.6770 Å; angles 69.47, 69.47, 35.80 degrees
With the nearest neighbours (Å) after each atom.
Element x y z (fractional)
As: 0.9851 0.9851 0.0143  2 P 2.60, 2 As 2.84
As: 0.7230 0.7230 0.8697  2 P 2.44
In: 0.5121 0.5121 0.4870  3 P 3.24-3.55, 8 As 3.26-3.61, 2 In 3.35
P: 0.2798 0.2798 0.1290  4 As 2.44-2.60

Computed properties:
- Energy relative to the elements: 5.46 kcal/mol of atoms
- Size of the total moment: 0.00 Bohr magnetons per cell
- E: -4.13 eV per atom
- Energy relative to the lowest polymorph listed for this composition: 0.2217 eV/atom